(1)
Density functional theory data (GGA-PBEsol) for Ta4Rh5 after structural relaxation.

* space-group type: No. 139
* spin magnetization: 0.000 μB per formula unit
* E: -95.41 eV/f.u.

a = 6.243 Å, b = 6.243 Å, c = 6.243 Å
α = 95.59°, β = 95.59°, γ = 143.62°
Positions (direct):
1 Ta 0.000 0.314 0.314
2 Ta 0.000 0.686 0.686
3 Ta 0.314 0.000 0.314
4 Ta 0.686 0.000 0.686
5 Rh 0.000 0.000 0.000
6 Rh 0.335 0.335 0.670
7 Rh 0.335 0.665 0.000
8 Rh 0.665 0.335 0.000
9 Rh 0.665 0.665 0.330



(2)
Density functional theory data (GGA-PBEsol) for TaRh after structural relaxation.

* space-group type: No. 12
* spin magnetization: 0.000 μB per formula unit
* E: -21.49 eV/f.u.

a = 4.841 Å, b = 4.841 Å, c = 4.817 Å
α = 98.97°, β = 98.97°, γ = 33.98°
Positions (direct):
1 Ta 0.116 0.116 0.332
2 Ta 0.884 0.884 0.668
3 Rh 0.370 0.370 0.155
4 Rh 0.630 0.630 0.845



(3)
Density functional theory data (GGA-PBEsol) for TaRh2 after structural relaxation.

* space-group type: No. 62
* spin magnetization: 0.000 μB per formula unit
* E: -30.55 eV/f.u.

a = 5.456 Å, b = 3.938 Å, c = 8.229 Å
α = 90.00°, β = 90.00°, γ = 90.00°
Positions (direct):
1 Ta 0.159 0.250 0.101
2 Ta 0.341 0.750 0.601
3 Ta 0.659 0.250 0.399
4 Ta 0.841 0.750 0.899
5 Rh 0.099 0.250 0.762
6 Rh 0.144 0.250 0.424
7 Rh 0.356 0.750 0.924
8 Rh 0.401 0.750 0.262
9 Rh 0.599 0.250 0.738
10 Rh 0.644 0.250 0.076
11 Rh 0.856 0.750 0.576
12 Rh 0.901 0.750 0.238



(4)
Density functional theory data (GGA-PBEsol) for TaRh after structural relaxation.

* space-group type: No. 57
* spin magnetization: 0.000 μB per formula unit
* E: -21.48 eV/f.u.

a = 9.510 Å, b = 7.540 Å, c = 5.265 Å
α = 90.00°, β = 90.00°, γ = 90.00°
Positions (direct):
1 Ta 0.135 0.042 0.250
2 Ta 0.135 0.458 0.750
3 Ta 0.325 0.644 0.250
4 Ta 0.325 0.856 0.750
5 Ta 0.365 0.250 0.000
6 Ta 0.365 0.250 0.500
7 Ta 0.635 0.750 0.000
8 Ta 0.635 0.750 0.500
9 Ta 0.675 0.144 0.250
10 Ta 0.675 0.356 0.750
11 Ta 0.865 0.542 0.250
12 Ta 0.865 0.958 0.750
13 Rh 0.085 0.750 0.000
14 Rh 0.085 0.750 0.500
15 Rh 0.131 0.093 0.750
16 Rh 0.131 0.407 0.250
17 Rh 0.444 0.543 0.750
18 Rh 0.444 0.957 0.250
19 Rh 0.556 0.043 0.750
20 Rh 0.556 0.457 0.250
21 Rh 0.869 0.593 0.750
22 Rh 0.869 0.907 0.250
23 Rh 0.915 0.250 0.000
24 Rh 0.915 0.250 0.500



(5)
Density functional theory data (GGA-PBEsol) for TaRh after structural relaxation.

* space-group type: No. 141
* spin magnetization: 0.000 μB per formula unit
* E: -21.44 eV/f.u.

a = 4.969 Å, b = 4.969 Å, c = 4.969 Å
α = 134.31°, β = 134.31°, γ = 66.61°
Positions (direct):
1 Ta 0.375 0.625 0.750
2 Ta 0.625 0.375 0.250
3 Rh 0.125 0.875 0.250
4 Rh 0.875 0.125 0.750



(6)
Density functional theory data (GGA-PBEsol) for TaRh2 after structural relaxation.

* space-group type: No. 141
* spin magnetization: 0.000 μB per formula unit
* E: -30.62 eV/f.u.

a = 12.252 Å, b = 12.252 Å, c = 12.252 Å
α = 161.98°, β = 161.98°, γ = 25.59°
Positions (direct):
1 Ta 0.298 0.548 0.750
2 Ta 0.452 0.702 0.750
3 Ta 0.548 0.298 0.250
4 Ta 0.702 0.452 0.250
5 Rh 0.042 0.792 0.250
6 Rh 0.126 0.376 0.750
7 Rh 0.208 0.958 0.250
8 Rh 0.376 0.126 0.250
9 Rh 0.624 0.874 0.750
10 Rh 0.792 0.042 0.750
11 Rh 0.874 0.624 0.250
12 Rh 0.958 0.208 0.750



(7)
Density functional theory data (GGA-PBEsol) for TaRh2 after structural relaxation.

* space-group type: No. 194
* spin magnetization: 0.000 μB per formula unit
* E: -30.33 eV/f.u.

a = 4.372 Å, b = 4.372 Å, c = 5.392 Å
α = 90.00°, β = 90.00°, γ = 120.00°
Positions (direct):
1 Ta 0.333 0.667 0.250
2 Ta 0.667 0.333 0.750
3 Rh 0.000 0.000 0.000
4 Rh 0.000 0.000 0.500
5 Rh 0.333 0.667 0.750
6 Rh 0.667 0.333 0.250



(8)
Density functional theory data (GGA-PBEsol) for TaRh2 after structural relaxation.

* space-group type: No. 65
* spin magnetization: 0.000 μB per formula unit
* E: -30.64 eV/f.u.

a = 6.268 Å, b = 6.268 Å, c = 3.796 Å
α = 90.00°, β = 90.00°, γ = 143.89°
Positions (direct):
1 Ta 0.155 0.845 0.000
2 Ta 0.845 0.155 0.000
3 Rh 0.000 0.000 0.500
4 Rh 0.333 0.667 0.500
5 Rh 0.500 0.500 0.000
6 Rh 0.667 0.333 0.500